[1]
Material: La8P3Se4S
Method: DFT, GGA-PBE
State: relaxed

Computed properties:
Raw formation energy (eV per atom): -1.924
Fermi-level density of states (states/eV/atom): 0.59
Total magnetic moment (μB per formula unit): 0.0
V (Å³/cell): 444.51

Geometry as POSCAR:
```
La8P3Se4S
1.0
4.261 2.460 7.069
-4.261 2.460 7.069
0.000 -4.920 7.069
La P Se S
8 3 4 1
Cartesian
-2.147 -1.240 12.250
0.000 0.000 5.180
0.000 -2.479 8.957
-2.147 1.240 8.957
2.147 -1.240 12.250
0.000 2.479 12.250
0.000 0.000 16.027
2.147 1.240 8.957
-4.261 0.000 10.604
-2.130 1.230 3.535
2.130 1.230 3.535
0.000 0.000 0.000
-2.130 -1.230 7.069
-2.130 1.230 14.138
0.000 2.460 7.069
0.000 0.000 10.604
```

[2]
Material: La8PSe4S3
Method: DFT, GGA-PBE
State: relaxed

Computed properties:
Raw formation energy (eV per atom): -2.037
Fermi-level density of states (states/eV/atom): 0.51
Total magnetic moment (μB per formula unit): 0.0
V (Å³/cell): 435.35

Geometry as POSCAR:
```
La8PSe4S3
1.0
4.234 2.444 7.011
-4.234 2.444 7.011
0.000 -4.889 7.011
La P Se S
8 1 4 3
Cartesian
0.000 0.000 5.128
-2.104 -1.215 12.138
0.000 -2.430 8.897
-2.104 1.215 8.897
2.104 -1.215 12.138
0.000 2.430 12.138
2.104 1.215 8.897
0.000 0.000 15.906
0.000 0.000 10.517
0.000 0.000 0.000
-2.117 -1.222 7.011
-2.117 1.222 14.023
0.000 2.444 7.011
-4.234 0.000 10.517
-2.117 1.222 3.506
2.117 1.222 3.506
```

[3]
Material: La6P3Se2S
Method: DFT, GGA-PBE
State: relaxed

Computed properties:
Raw formation energy (eV per atom): -1.882
Fermi-level density of states (states/eV/atom): 0.41
Total magnetic moment (μB per formula unit): 0.0
V (Å³/cell): 330.87

Geometry as POSCAR:
```
La6P3Se2S
1.0
9.334 -2.131 0.000
9.334 2.131 0.000
-2.037 0.000 8.317
La P Se S
6 3 2 1
Cartesian
-0.434 0.000 2.063
5.333 0.000 3.550
4.445 0.000 7.545
12.186 0.000 0.772
11.298 0.000 4.768
17.065 0.000 6.254
2.441 0.000 2.779
9.334 0.000 0.000
14.191 0.000 5.538
1.407 0.000 6.931
15.224 0.000 1.386
8.316 0.000 4.159
```

[4]
Material: La6P2SeS3
Method: DFT, GGA-PBE
State: relaxed

Computed properties:
Raw formation energy (eV per atom): -1.985
Fermi-level density of states (states/eV/atom): 0.47
Total magnetic moment (μB per formula unit): 0.0
V (Å³/cell): 319.99

Geometry as POSCAR:
```
La6P2SeS3
1.0
9.194 -2.111 0.000
9.194 2.111 0.000
-1.898 0.000 8.245
La P Se S
6 2 1 3
Cartesian
-0.457 0.000 2.148
4.332 0.000 7.500
5.299 0.000 3.461
11.191 0.000 4.784
12.158 0.000 0.745
16.947 0.000 6.097
2.425 0.000 2.737
14.066 0.000 5.508
9.194 0.000 0.000
1.454 0.000 6.875
8.245 0.000 4.123
15.036 0.000 1.370
```

[5]
Material: LaPSeS2
Method: DFT, GGA-PBE
State: relaxed

Computed properties:
Raw formation energy (eV per atom): -0.421
Fermi-level density of states (states/eV/atom): 0.50
Total magnetic moment (μB per formula unit): 0.0
Energy above the lowest structure with this stoichiometry (eV per atom): 0.000
V (Å³/cell): 112.31

Geometry as POSCAR:
```
LaPSeS2
1.0
4.834 0.000 0.000
0.000 4.834 0.000
0.000 0.000 4.806
La P Se S
1 1 1 2
Cartesian
0.000 0.000 0.000
2.417 2.417 0.000
2.417 2.417 2.403
0.000 2.417 2.403
2.417 0.000 2.403
```

[6]
Material: LaSiPS2
Method: DFT, GGA-PBE
State: relaxed

Computed properties:
Raw formation energy (eV per atom): -0.768
Fermi-level density of states (states/eV/atom): 0.68
Total magnetic moment (μB per formula unit): 0.0
Energy above the lowest structure with this stoichiometry (eV per atom): 0.000
V (Å³/cell): 100.53

Geometry as POSCAR:
```
LaSiPS2
1.0
4.673 0.000 0.000
0.000 4.673 0.000
0.000 0.000 4.604
La Si P S
1 1 1 2
Cartesian
0.000 0.000 0.000
2.336 2.336 2.302
2.336 2.336 0.000
0.000 2.336 2.302
2.336 0.000 2.302
```

[7]
Material: LaSiPS2
Method: DFT, GGA-PBE
State: relaxed

Computed properties:
Raw formation energy (eV per atom): 0.760
Fermi-level density of states (states/eV/atom): 0.95
Total magnetic moment (μB per formula unit): 2.6
Energy above the lowest structure with this stoichiometry (eV per atom): 1.528
V (Å³/cell): 179.37

Geometry as POSCAR:
```
LaSiPS2
1.0
5.396 0.000 0.000
0.000 5.396 0.000
0.000 0.000 6.161
La Si P S
1 1 1 2
Cartesian
0.000 0.000 0.000
0.000 0.000 3.080
2.698 2.698 3.080
0.000 2.698 0.000
2.698 0.000 0.000
```

[8]
Material: La6SiP2S3
Method: DFT, GGA-PBE
State: relaxed

Computed properties:
Raw formation energy (eV per atom): -1.754
Fermi-level density of states (states/eV/atom): 0.33
Total magnetic moment (μB per formula unit): 0.0
V (Å³/cell): 325.18

Geometry as POSCAR:
```
La6SiP2S3
1.0
9.255 -2.128 0.000
9.255 2.128 0.000
-1.920 0.000 8.257
La Si P S
6 1 2 3
Cartesian
-0.460 0.000 2.065
5.338 0.000 3.470
4.424 0.000 7.543
12.166 0.000 0.714
11.252 0.000 4.787
17.050 0.000 6.192
9.255 0.000 0.000
2.463 0.000 2.768
14.127 0.000 5.489
1.496 0.000 6.869
8.295 0.000 4.128
15.094 0.000 1.388
```

[9]
Material: LaSiPS2
Method: DFT, GGA-PBE
State: relaxed

Computed properties:
Raw formation energy (eV per atom): 0.511
Fermi-level density of states (states/eV/atom): 1.16
Total magnetic moment (μB per formula unit): 0.6
Energy above the lowest structure with this stoichiometry (eV per atom): 1.278
V (Å³/cell): 161.37

Geometry as POSCAR:
```
LaSiPS2
1.0
5.415 0.000 0.000
0.000 5.415 0.000
0.000 0.000 5.503
La Si P S
1 1 1 2
Cartesian
0.000 0.000 0.000
2.707 2.707 2.752
0.000 0.000 2.752
0.000 2.707 0.000
2.707 0.000 0.000
```

[10]
Material: La4SiPS2
Method: DFT, GGA-PBE
State: relaxed

Computed properties:
Raw formation energy (eV per atom): -1.670
Fermi-level density of states (states/eV/atom): 0.24
Total magnetic moment (μB per formula unit): 0.0
V (Å³/cell): 218.78

Geometry as POSCAR:
```
La4SiPS2
1.0
7.361 0.000 0.000
0.000 4.268 0.000
-2.474 0.000 6.964
La Si P S
4 1 1 2
Cartesian
1.191 0.000 1.722
-0.034 2.134 5.227
4.920 2.134 1.737
3.696 0.000 5.241
-1.237 0.000 3.482
0.000 2.134 0.000
3.680 0.000 0.000
2.443 2.134 3.482
```

[11]
Material: LaSmPS
Method: DFT, GGA-PBE
State: relaxed

Computed properties:
Raw formation energy (eV per atom): -1.891
Fermi-level density of states (states/eV/atom): 0.46
Total magnetic moment (μB per formula unit): 0.0
V (Å³/cell): 100.51

Geometry as POSCAR:
```
LaSmPS
1.0
2.068 1.194 6.786
-2.068 1.194 6.786
0.000 -2.388 6.786
La Sm P S
1 1 1 1
Cartesian
0.000 0.000 0.000
0.000 0.000 10.085
0.000 0.000 15.280
0.000 0.000 4.982
```

[12]
Material: LaSnP2S
Method: DFT, GGA-PBE
State: relaxed

Computed properties:
Raw formation energy (eV per atom): -0.188
Fermi-level density of states (states/eV/atom): 1.23
Total magnetic moment (μB per formula unit): 0.0
Energy above the lowest structure with this stoichiometry (eV per atom): 0.000
V (Å³/cell): 125.50

Geometry as POSCAR:
```
LaSnP2S
1.0
4.977 0.000 0.000
0.000 4.977 0.000
0.000 0.000 5.066
La Sn P S
1 1 2 1
Cartesian
0.000 0.000 0.000
2.489 2.489 2.533
0.000 2.489 2.533
2.489 0.000 2.533
2.489 2.489 0.000
```